This record from Alexandria via LeMat-Bulk describes Ca2Tl5Ag after structural relaxation. The functional is PBE.

Geometry as POSCAR:
```
Ca2Tl5Ag
1.0
4.817 0.000 0.000
0.000 6.743 0.000
0.000 0.000 13.481
Ca Tl Ag
4 10 2
Direct
0.500 0.255 0.625 Ca
0.500 0.745 0.375 Ca
0.500 0.245 0.125 Ca
0.500 0.755 0.875 Ca
0.000 0.000 0.000 Tl
0.000 0.500 0.500 Tl
0.000 0.499 0.759 Tl
0.000 0.501 0.241 Tl
0.000 0.001 0.259 Tl
0.000 0.999 0.741 Tl
0.500 0.261 0.882 Tl
0.500 0.739 0.118 Tl
0.500 0.239 0.382 Tl
0.500 0.761 0.618 Tl
0.000 0.000 0.500 Ag
0.000 0.500 0.000 Ag
```

Computed properties:
* ρ: 9.2 Mg/m³
* formation enthalpy at 0 K: -0.2085 eV per atom